{
  "formula": "Sr2CrAg",
  "functional": "GGA-PBE",
  "state": "relaxed",
  "cell": [[-3.583, 5.780, 4.829], [-2.815, 2.116, 7.560], [0.636, 5.056, 6.603]],
  "species": ["Sr", "Sr", "Cr", "Ag"],
  "frac_coords": [[0.994, 0.994, 0.994], [0.506, 0.506, 0.506], [0.750, 0.750, 0.750], [0.250, 0.250, 0.250]],
  "formation_enthalpy_0k_mev_per_atom": 446.2,
  "dft_energy_ev_per_cell": -14.1,
  "m_tot_mub_per_fu": 5.4,
  "de_polymorph_ev_per_atom": 0.254
}



{
  "formula": "K4Ac3ScTe8",
  "functional": "GGA-PBE",
  "state": "relaxed",
  "cell": [[9.443, 0.000, 0.000], [0.000, 9.906, 0.315], [-4.722, -4.715, 6.682]],
  "species": ["K", "K", "K", "K", "Te", "Te", "Te", "Te", "Te", "Te", "Te", "Te", "Ac", "Ac", "Ac", "Sc"],
  "frac_coords": [[0.500, 0.000, 0.000], [0.500, 0.000, 0.500], [0.000, 0.000, 0.000], [0.000, 0.000, 0.500], [0.763, 0.711, 0.987], [0.224, 0.711, 0.448], [0.776, 0.289, 0.013], [0.257, 0.272, 0.515], [0.237, 0.289, 0.013], [0.743, 0.728, 0.485], [0.776, 0.289, 0.552], [0.224, 0.711, 0.987], [0.500, 0.500, 0.500], [0.500, 0.500, 0.000], [0.000, 0.500, 0.500], [0.000, 0.500, 0.000]],
  "dft_energy_ev_per_cell": -70.7,
  "m_tot_mub_per_fu": 0.0
}